A plane-wave DFT calculation with PBE+U was carried out for a relaxed KEuDyWO6 crystal.

Summary:
Space-group type: F-43m (216)
E (Ha/atom): -0.2914

Geometry as CIF:
```
data_KEuDyWO6
_space_group_name_H-M_alt 'P 1'
_space_group_IT_number 1
_space_group_name_Hall 'P 1'
_cell_length_a 5.9199
_cell_length_b 5.9199
_cell_length_c 5.9199
_cell_angle_alpha 60.00
_cell_angle_beta 60.00
_cell_angle_gamma 60.00
loop_
_atom_site_label
_atom_site_type_symbol
_atom_site_fract_x
_atom_site_fract_y
_atom_site_fract_z
O1 O 0.2667 0.2667 0.7333
Dy1 Dy 0.0000 0.0000 0.0000
K1 K 0.2500 0.2500 0.2500
O2 O 0.7333 0.7333 0.2667
O3 O 0.2667 0.7333 0.2667
Eu1 Eu 0.7500 0.7500 0.7500
W1 W 0.5000 0.5000 0.5000
O4 O 0.7333 0.2667 0.2667
O5 O 0.2667 0.7333 0.7333
O6 O 0.7333 0.2667 0.7333
```